[1]
Computed, not measured: a relaxed structure of La3Pm7Ho at the GGA-PBE level of DFT.

Energy above the most stable polymorph in this dataset: 0.00 eV per formula unit

a b c (Å): 11.8442 10.2977 6.5359
angles (deg): 90.00 94.08 90.00
With the nearest neighbours (Å) after each atom.
Space group C2/m (No. 12)
Inequivalent atoms, fractional coordinates:
La 0.0000 0.0000 0.0000  6 Pm 3.51-3.79, 4 La 3.73
La 0.0000 0.1754 0.5000  7 Pm 3.34-3.63, 3 La 3.61-3.73
Pm 0.0000 0.5000 0.5000  2 Ho 3.27, 2 La 3.34, 2 Pm 3.47
Pm 0.2397 0.0000 0.7126  5 Pm 3.40-3.59, 1 Ho 3.49, 3 La 3.51-3.56
Pm 0.2395 0.3288 0.7622  5 Pm 3.40-3.66, 3 La 3.58-3.79, 1 Ho 3.77
Ho 0.0000 0.5000 0.0000  4 Pm 3.27-3.49

[2]
Computed, not measured: a relaxed structure of La6Pm8Ho at the GGA-PBE level of DFT.

a b c (Å): 9.3326 9.3326 21.2710
angles (deg): 90.00 90.00 120.00
With the nearest neighbours (Å) after each atom.
Space group R-3 (No. 148, hexagonal axes)
Inequivalent atoms, fractional coordinates:
La 0.0526 0.8056 0.2104  4 Pm 3.44-3.77, 1 Ho 3.58, 2 La 3.64
Pm 0.0000 0.0000 0.0774  4 Pm 3.29-3.51, 3 La 3.53
Pm 0.0802 0.5157 0.3059  3 La 3.44-3.77, 5 Pm 3.51-3.57, 1 Ho 3.61
Ho 0.0000 0.0000 0.5000  6 La 3.58, 6 Pm 3.61

[3]
Computed, not measured: a relaxed structure of La15Pm4Ho at the GGA-PBE level of DFT.

a b c (Å): 5.2316 5.2316 26.2380
angles (deg): 90.00 90.00 90.00
With the nearest neighbours (Å) after each atom.
Space group P4/mmm (No. 123)
Inequivalent atoms, fractional coordinates:
La 0.0000 0.0000 0.0000  8 La 3.68, 4 Ho 3.70
La 0.0000 0.0000 0.1991  4 Pm 3.70, 8 La 3.71
La 0.0000 0.0000 0.3997  4 Pm 3.70, 8 La 3.71
La 0.0000 0.5000 0.0989  8 La 3.68-3.71, 2 Ho 3.68, 2 Pm 3.71
La 0.0000 0.5000 0.2992  8 La 3.70-3.71, 4 Pm 3.71
La 0.0000 0.5000 0.5000  8 La 3.70-3.71, 4 Pm 3.71
Pm 0.5000 0.5000 0.1990  12 La 3.70-3.71
Pm 0.5000 0.5000 0.3996  12 La 3.70-3.71
Ho 0.5000 0.5000 0.0000  12 La 3.68-3.70

[4]
Computed, not measured: a relaxed structure of La14PmHo at the GGA-PBE level of DFT.

a b c (Å): 11.9343 11.6360 8.3272
angles (deg): 90.00 90.00 90.00
With the nearest neighbours (Å) after each atom.
Space group Amm2 (No. 38)
Inequivalent atoms, fractional coordinates:
La 0.0000 0.0000 0.0000  3 La 3.29-3.60
La 0.0000 0.0000 0.4323  4 La 3.18-3.55
La 0.0000 0.2125 0.7388  4 La 3.29-3.55
La 0.2470 0.2143 0.0261  8 La 3.43-3.83
La 0.2522 0.0000 0.3098  3 La 3.18-3.44, 1 Pm 3.22
La 0.2600 0.0000 0.7438  6 La 3.43-3.79, 1 Pm 3.71, 1 Ho 3.75
La 0.5000 0.2255 0.7433  2 Pm 3.52-3.67, 2 Ho 3.57-3.64, 6 La 3.59-3.88
Pm 0.5000 0.0000 0.4614  4 La 3.22-3.52, 1 Ho 3.55
Ho 0.5000 0.0000 0.0347  1 Pm 3.55, 12 La 3.57-3.92

[5]
Computed, not measured: a relaxed structure of La3Pm7Ho2 at the GGA-PBE level of DFT.

Energy above the most stable polymorph in this dataset: 0.00 eV per formula unit

a b c (Å): 5.9716 3.6495 19.2939
angles (deg): 90.00 93.06 90.00
With the nearest neighbours (Å) after each atom.
Space group P2/m (No. 10)
Inequivalent atoms, fractional coordinates:
La 0.0000 0.0000 0.0000  8 Pm 3.49-3.50, 2 La 3.65
La 0.2777 0.5000 0.6343  2 La 3.65, 4 Ho 3.75-3.78, 8 Pm 3.77-4.04
Pm 0.1898 0.5000 0.1455  2 Ho 3.39, 7 Pm 3.45-3.65, 2 La 3.49
Pm 0.2437 0.0000 0.4632  1 Ho 3.26, 4 Pm 3.30-3.65
Pm 0.3074 0.0000 0.8215  6 Pm 3.54-3.65, 2 Ho 3.72-3.73
Pm 0.5000 0.5000 0.0000  4 Pm 3.45-3.65, 4 La 3.50
Ho 0.2131 0.0000 0.2939  3 Pm 3.26-3.39, 2 Ho 3.65

[6]
Computed, not measured: a relaxed structure of La7PmHo4 at the GGA-PBE level of DFT.

Energy above the most stable polymorph in this dataset: 2.21 eV per formula unit

a b c (Å): 16.3948 6.0956 9.6971
angles (deg): 90.00 118.43 90.00
With the nearest neighbours (Å) after each atom.
Space group C2/m (No. 12)
Inequivalent atoms, fractional coordinates:
La 0.0000 0.0000 0.0000  2 Pm 3.05, 2 Ho 3.29
La 0.0892 0.5000 0.4577  3 La 3.39-3.70, 5 Ho 3.52-3.79
La 0.2132 0.5000 0.8917  6 La 3.41-3.70, 2 Ho 3.78
La 0.2221 0.5000 0.2506  4 Ho 3.27-3.51, 1 Pm 3.28, 2 La 3.41-3.60
Pm 0.0000 0.5000 0.0000  4 La 3.05-3.28
Ho 0.0653 0.0000 0.7016  2 La 3.29-3.53, 2 Ho 3.45-3.55
Ho 0.1672 0.0000 0.3659  7 La 3.27-3.58, 1 Ho 3.55

[7]
Computed, not measured: a relaxed structure of LaPm4Ho5 at the GGA-PBE level of DFT.

a b c (Å): 25.7082 3.6017 7.1766
angles (deg): 90.00 98.01 90.00
With the nearest neighbours (Å) after each atom.
Space group C2/m (No. 12)
Inequivalent atoms, fractional coordinates:
La 0.0000 0.0000 0.0000  2 Ho 3.59, 2 La 3.60, 8 Pm 3.65
Pm 0.1021 0.5000 0.3039  4 Pm 3.55-3.62, 6 Ho 3.58-3.63, 2 La 3.65
Pm 0.1022 0.5000 0.7989  4 Pm 3.55-3.62, 6 Ho 3.58-3.63, 2 La 3.65
Ho 0.0000 0.0000 0.5000  2 La 3.59, 2 Ho 3.60, 8 Pm 3.63
Ho 0.2016 0.0000 0.1010  8 Ho 3.53-3.60, 4 Pm 3.60
Ho 0.2019 0.0000 0.6009  8 Ho 3.53-3.60, 4 Pm 3.58

[8]
Computed, not measured: a relaxed structure of La3Pm3Ho8 at the GGA-PBE level of DFT.

a b c (Å): 5.7126 10.8137 15.3323
angles (deg): 90.00 90.00 90.00
With the nearest neighbours (Å) after each atom.
Space group Immm (No. 71)
Inequivalent atoms, fractional coordinates:
La 0.0000 0.0000 0.0000  4 Pm 3.58, 4 Ho 4.00
La 0.0000 0.5000 0.3123  2 Pm 3.60, 8 Ho 3.64-3.69
Pm 0.0000 0.0000 0.5000  2 Pm 3.25
Pm 0.0000 0.3004 0.5000  1 Pm 3.25, 4 La 3.58-3.60, 4 Ho 3.59
Ho 0.0000 0.1621 0.2810  6 Ho 3.35-3.56, 3 La 3.64-3.69, 1 Pm 3.68
Ho 0.0000 0.3402 0.1019  5 Ho 3.13-3.46

The records above give, respectively, DOS(E_F) values of 32.574; 73.277; 33.980; 55.570; 17.147; 41.080; 26.305; 43.838 states/eV per cell.
The records above give, respectively, energy relative to the elements values of 0.219; 0.102; 0.011; 0.079; 0.082; 0.198; 0.018; 0.102 eV per atom.